KCoB2Rh after structural relaxation. Source: Alexandria via LeMat-Bulk, functional PBE-GGA.

## Properties
**E_form**: 3.44 eV/atom

a b c (Å): 4.472 4.568 4.472
angles (deg): 90.00 90.00 90.00
Fractional positions:
Co1 0.500 0.500 0.500
B1 0.000 0.000 0.500
B2 0.500 0.000 0.000
Rh1 0.000 0.500 0.000
K1 0.000 0.000 0.000

***

KTiCoB2 after structural relaxation. Source: Alexandria via LeMat-Bulk, functional PBE-GGA.

## Properties
**E_form**: 1.37 eV/atom

a b c (Å): 4.499 4.466 4.499
angles (deg): 90.00 90.00 90.00
Fractional positions:
K1 0.500 0.500 0.500
Ti1 0.000 0.000 0.000
B1 0.000 0.000 0.500
B2 0.500 0.000 0.000
Co1 0.000 0.500 0.000

***

KTi2CoB after structural relaxation. Source: Alexandria via LeMat-Bulk, functional PBE-GGA.

## Properties
**E_form**: 0.80 eV/atom

a b c (Å): 4.684 4.021 4.684
angles (deg): 90.00 90.00 90.00
Fractional positions:
Ti1 0.000 0.000 0.500
K1 0.500 0.500 0.500
Ti2 0.500 0.000 0.000
Co1 0.000 0.000 0.000
B1 0.000 0.500 0.000

***

KVCoB2 after structural relaxation. Source: Alexandria via LeMat-Bulk, functional PBE-GGA.

## Properties
**E_form**: 1.94 eV/atom

a b c (Å): 4.145 4.856 4.145
angles (deg): 90.00 90.00 90.00
Fractional positions:
K1 0.000 0.500 0.000
B1 0.500 0.000 0.000
Co1 0.500 0.500 0.500
B2 0.000 0.000 0.500
V1 0.000 0.000 0.000

***

K2ZnCoB after structural relaxation. Source: Alexandria via LeMat-Bulk, functional PBE-GGA.

## Properties
**E_form**: 0.74 eV/atom

a b c (Å): 6.229 3.760 6.229
angles (deg): 90.00 90.00 90.00
Fractional positions:
K1 0.500 0.000 0.000
Co1 0.000 0.000 0.000
K2 0.000 0.000 0.500
Zn1 0.500 0.500 0.500
B1 0.000 0.500 0.000

***

La2Co17B2 after structural relaxation. Source: Alexandria via LeMat-Bulk, functional PBE-GGA.

## Properties
**E_form**: -0.03 eV/atom

a b c (Å): 6.459 6.446 6.446
angles (deg): 84.73 83.86 83.86
Fractional positions:
B1 0.500 0.500 0.000
Co1 0.000 0.000 0.500
Co2 0.095 0.096 0.096
La1 0.318 0.362 0.362
B2 0.500 0.000 0.500
La2 0.682 0.638 0.638
Co3 0.663 0.661 0.142
Co4 0.277 0.997 0.723
Co5 0.139 0.662 0.662
Co6 0.723 0.277 0.003
Co7 0.500 0.000 0.000
Co8 0.337 0.858 0.339
Co9 0.723 0.003 0.277
Co10 0.861 0.338 0.338
Co11 0.000 0.271 0.729
Co12 0.905 0.904 0.904
Co13 0.277 0.723 0.997
Co14 0.000 0.500 0.000
Co15 0.000 0.729 0.271
Co16 0.663 0.142 0.661
Co17 0.337 0.339 0.858

***

> Among the records above, which one has the lowest E_form?

La2Co17B2

***

> What is the E_form in the sixth record?

-0.03 eV/atom

***

> Which value of E_form does entry 1 give?

3.44 eV/atom

***

Repeat the fifth record exactly.
K2ZnCoB after structural relaxation. Source: Alexandria via LeMat-Bulk, functional PBE-GGA.

## Properties
**E_form**: 0.74 eV/atom

a b c (Å): 6.229 3.760 6.229
angles (deg): 90.00 90.00 90.00
Fractional positions:
K1 0.500 0.000 0.000
Co1 0.000 0.000 0.000
K2 0.000 0.000 0.500
Zn1 0.500 0.500 0.500
B1 0.000 0.500 0.000